No. 1
DFT (PBE) results for a geometry-optimized CdPd2I structure.

**Electronic total energy**: -12.7 eV/cell
**Offset from the most stable computed form**: 0 meV/atom

Cell lengths 4.829, 4.829, 4.829 Å; angles 60.00, 60.00, 60.00 degrees
Fractional coordinates of all 4 atoms:
Cd: 0.000 0.000 0.000
Pd: 0.250 0.250 0.250
Pd: 0.750 0.750 0.750
I: 0.500 0.500 0.500

***

No. 2
DFT (PBE) results for a geometry-optimized La3InCu structure.

**Electronic total energy**: -21.7 eV/cell
**Formation energy**: -0.01 eV/atom
**Offset from the most stable computed form**: 0 meV/atom

Cell lengths 5.553, 5.553, 5.553 Å; angles 90.00, 90.00, 90.00 degrees
Fractional coordinates of all 5 atoms:
La: 0.000 0.000 0.500
La: 0.000 0.500 0.000
La: 0.500 0.000 0.000
In: 0.500 0.500 0.500
Cu: 0.000 0.000 0.000

***

No. 3
DFT (PBE) results for a geometry-optimized La2CrPt structure.

**Electronic total energy**: -26.7 eV/cell
**Formation energy**: -0.30 eV/atom
**Offset from the most stable computed form**: 44 meV/atom

Cell lengths 3.741, 3.741, 7.260 Å; angles 90.00, 90.00, 90.00 degrees
Fractional coordinates of all 4 atoms:
La: 0.000 0.000 0.238
La: 0.000 0.000 0.762
Cr: 0.500 0.500 0.500
Pt: 0.500 0.500 0.000